Record 1
An optimized crystal structure of NaLiEr2S4. Source: Alexandria via LeMat-Bulk, functional PBE.

Cell and atoms, written as extended XYZ:
```
16
Lattice="-2.102 -3.838 6.516 7.257 0.886 2.856 -4.059 6.261 -2.299" Properties=species:S:1:pos:R:3 pbc="T T T"
S 2.936 2.894 2.694
Er -2.030 3.130 -1.150
S 4.895 -0.272 3.871
Er 2.577 -1.476 4.686
Er -3.081 1.211 2.108
Li 0.548 1.655 3.536
S -1.840 0.415 4.379
Na 3.628 0.443 1.428
S -0.818 2.403 1.201
Er -1.051 -1.919 3.258
Na -0.503 -0.264 6.794
S -2.799 5.458 0.078
S 3.895 -2.149 6.995
S -3.800 3.581 3.202
Li -6.161 2.423 4.217
S 1.913 0.906 5.872
```

Properties
DOS(E_F): 0.0000 states/eV/atom
E_tot: -5.453 eV per atom
E_form (uncorrected): -1.84 eV per atom

Record 2
An optimized crystal structure of ScTl2HgS4. Source: Alexandria via LeMat-Bulk, functional PBE.

Cell and atoms, written as extended XYZ:
```
8
Lattice="3.892 0.000 0.000 0.000 7.293 -0.212 0.000 2.504 6.609" Properties=species:S:1:pos:R:3 pbc="T T T"
Hg 1.946 3.646 -0.106
Tl 0.000 2.504 6.609
S 3.892 2.758 1.598
Tl 1.946 1.252 3.304
S 1.946 3.883 4.607
S 1.946 5.914 1.789
Sc 0.000 4.898 3.198
S 0.000 7.039 4.798
```

Properties
DOS(E_F): 0.2354 states/eV/atom
E_tot: -4.173 eV per atom
E_form (uncorrected): -0.69 eV per atom

Record 3
An optimized crystal structure of LaPu2Co9. Source: Alexandria via LeMat-Bulk, functional PBE.

Cell and atoms, written as extended XYZ:
```
12
Lattice="4.966 0.000 0.000 2.483 4.301 0.000 2.483 1.434 8.157" Properties=species:S:1:pos:R:3 pbc="T T T"
Co 3.719 3.587 6.123
Pu 2.483 1.434 4.736
Co 3.719 2.147 2.034
Co 6.213 3.587 6.123
Co 4.966 2.867 0.006
Co 4.966 2.867 4.078
Pu 7.449 4.301 3.421
La 0.000 0.000 0.000
Co 6.213 2.147 2.034
Co 4.966 1.427 6.123
Co 4.966 4.307 2.034
Co 4.966 2.867 8.151
```

Properties
DOS(E_F): 1.8921 states/eV/atom
E_tot: -8.238 eV per atom

Record 4
An optimized crystal structure of Tm5Th3H12. Source: Alexandria via LeMat-Bulk, functional PBE.

Cell and atoms, written as extended XYZ:
```
80
Lattice="11.355 0.000 0.000 -3.785 10.706 0.000 -3.785 -5.353 9.271" Properties=species:S:1:pos:R:3 pbc="T T T"
H -2.059 -4.139 8.687
H 6.900 -3.759 7.928
H -2.059 2.576 5.979
H -4.052 -0.029 7.804
H 1.222 0.716 5.344
H 0.167 3.790 3.877
Tm 1.893 2.676 4.636
H 4.455 -0.716 5.344
Th 6.624 7.360 1.159
Tm -3.785 2.676 4.636
H 2.059 -1.563 5.395
Tm -2.839 6.022 3.477
H 2.160 6.609 0.759
H 1.625 -1.256 8.512
H -1.222 -3.043 6.688
Tm -1.893 5.353 0.000
Tm 0.946 -2.676 6.954
Tm -0.946 2.676 2.318
H 5.007 1.594 1.344
Tm 3.785 -2.676 4.636
Tm 0.946 3.346 8.113
H 3.618 1.563 5.395
H 4.354 4.843 7.219
H -3.115 9.112 1.344
H 1.323 4.199 6.103
H 5.844 9.492 0.585
H -0.267 4.097 0.759
H -0.569 0.509 2.052
H 5.410 5.324 1.467
Th -2.839 2.007 8.113
H -1.323 -0.645 4.051
Tm 4.731 2.676 6.954
Th 0.946 5.353 2.318
H 4.052 -1.285 8.563
Th 6.624 3.346 1.159
H 6.247 -0.509 2.052
Tm 4.731 4.684 3.477
Tm 2.839 2.007 1.159
H -4.455 3.043 6.688
Tm 2.839 8.029 2.318
Tm 0.000 0.000 0.000
H 2.160 4.068 0.708
Th 8.516 0.000 2.318
Th -4.731 5.353 6.954
H 0.569 6.507 6.103
Tm 5.678 0.000 0.000
H -0.267 6.638 0.708
H 2.563 4.637 3.927
H 2.462 1.154 3.168
H 1.726 6.916 3.877
H -2.462 5.862 7.219
Th 0.946 -0.669 3.477
Th 2.839 6.022 5.795
H -3.216 4.708 5.221
Tm 4.731 -3.346 8.113
H 3.216 -1.154 3.168
H 7.838 5.382 1.467
Th -0.946 4.684 5.795
Tm -1.893 -2.676 4.636
H 7.001 0.645 4.051
Tm -0.946 8.698 1.159
H 1.625 1.285 8.563
H 7.403 1.214 0.585
Th 4.731 0.669 3.477
H -1.625 0.029 7.804
H -3.952 7.929 3.292
H -3.618 4.139 8.687
H -0.670 6.069 3.927
H -1.222 3.759 7.928
H 8.240 2.310 2.584
H 5.108 5.997 5.221
H 5.844 2.777 3.292
Th 2.839 0.000 6.954
H 7.737 -2.576 5.979
H 5.007 8.396 2.584
H 4.052 1.256 8.512
Tm 3.785 5.353 0.000
Th -2.839 -2.007 8.113
Tm 6.624 -0.669 5.795
Tm -0.946 0.669 5.795
```

Properties
DOS(E_F): 0.3781 states/eV/atom
E_tot: -4.694 eV per atom

Record 5
An optimized crystal structure of Y2ScReRu. Source: Alexandria via LeMat-Bulk, functional PBE.

Cell and atoms, written as extended XYZ:
```
5
Lattice="-2.397 -3.431 -3.255 3.188 0.496 -2.870 2.654 -3.996 2.257" Properties=species:S:1:pos:R:3 pbc="T T T"
Re 1.722 -3.466 -1.934
Ru 1.594 0.248 -1.435
Y 1.327 -1.998 1.129
Sc 0.000 0.000 0.000
Y -1.199 -1.715 -1.628
```

Properties
DOS(E_F): 1.3365 states/eV/atom
E_tot: -6.732 eV per atom

Record 6
An optimized crystal structure of Zr2NiPt2. Source: Alexandria via LeMat-Bulk, functional PBE.

Cell and atoms, written as extended XYZ:
```
10
Lattice="-0.195 -6.695 -2.688 5.328 1.679 -4.570 2.389 -1.035 2.405" Properties=species:S:1:pos:R:3 pbc="T T T"
Zr 5.483 -3.613 -4.391
Pt 3.219 -4.718 -5.229
Pt 1.914 -0.298 -2.029
Ni 2.566 -2.508 -3.629
Pt 0.600 -4.029 -2.330
Zr 2.038 -2.438 -0.462
Pt 4.533 -0.987 -4.928
Zr 2.788 -5.518 -2.534
Zr 4.733 -0.533 -2.319
Ni 0.000 0.000 0.000
```

Properties
DOS(E_F): 0.7045 states/eV/atom
E_tot: -7.707 eV per atom